Record 1
12
Lattice="4.1548 0.0000 0.0000 0.0000 4.1563 0.0000 0.0000 0.0000 6.6790" Properties=species:S:1:pos:R:3 comment="PBE with a Hubbard U NiHO, relaxed" dft_energy_ry_per_atom=-0.303 total_magnetization_mub_per_fu=1.0 pbc="T T T"
Ni 3.1161 1.0390 3.3902
Ni 1.0387 1.0392 0.0507
Ni 1.0387 3.1173 3.2888
Ni 3.1161 3.1172 6.6284
O 3.1161 3.1172 3.0241
O 1.0387 3.1174 6.3636
O 1.0387 1.0392 3.6549
O 3.1161 1.0390 0.3154
H 3.1161 1.0389 1.3134
H 1.0387 1.0393 4.6529
H 1.0387 3.1175 5.3656
H 3.1161 3.1170 2.0261

Record 2
20
Lattice="-3.5151 -1.7538 2.0005 -0.6011 -5.4156 -5.8039 3.1160 -3.2036 2.6666" Properties=species:S:1:pos:R:3 comment="PBE with a Hubbard U NiH5O4, relaxed" dft_energy_ry_per_atom=-0.342 total_magnetization_mub_per_fu=3.0 pbc="T T T"
Ni -2.7119 -1.3531 1.5434
Ni 0.4543 -4.7103 -1.1115
H 1.0467 -7.9285 -2.0895
H 1.4782 -4.0407 2.0770
H -3.8127 -4.4601 -0.9031
H -1.1503 -5.6697 -3.9696
H -0.7188 -1.7819 0.1969
H -1.7084 -5.8093 -1.4024
H -1.5388 -4.2815 0.2350
H 1.5551 -1.6033 1.3350
H -0.6198 -5.2263 1.0214
H -0.7894 -6.7541 -0.6159
O 2.1527 -2.3854 2.0029
O -2.0620 -5.2452 -3.8920
O -1.6722 -1.7336 -0.1287
O 0.7378 -0.9307 0.7921
O -2.9954 -5.1326 -0.3602
O -0.7967 -6.2338 -1.4800
O -0.5854 -4.3298 0.5606
O -1.2943 -6.8816 1.0956

Record 3
5
Lattice="3.1332 0.0000 0.0000 0.0000 3.1332 0.0000 0.0000 0.0000 3.1332" Properties=species:S:1:pos:R:3 comment="PBE with a Hubbard U NiH3O, relaxed" e_above_lowest_polymorph_mev_per_atom=0.0 total_magnetization_mub_per_fu=0.7 pbc="T T T"
Ni 0.0000 0.0000 0.0000
O 1.5666 1.5666 1.5666
H 0.0000 1.5666 0.0000
H 0.0000 0.0000 1.5666
H 1.5666 0.0000 0.0000

Record 4
4
Lattice="-1.3711 -0.5687 3.1193 -3.3999 0.3714 0.4861 -1.9820 -2.7783 0.5351" Properties=species:S:1:pos:R:3 comment="PBE with a Hubbard U NiHO2, relaxed" dft_energy_ry_per_atom=-0.258 total_magnetization_mub_per_fu=3.0 pbc="T T T"
Ni -3.3765 -1.4878 2.0703
O -1.6882 -0.7439 1.0351
O -5.0647 -2.2316 3.1054
H 0.0000 0.0000 0.0000

Record 5
10
Lattice="-0.9502 -4.5959 -2.6149 5.2425 -1.1655 0.1436 -0.3093 -1.1323 2.1026" Properties=species:S:1:pos:R:3 comment="PBE with a Hubbard U NiH2O2, relaxed" e_above_lowest_polymorph_mev_per_atom=546.7 total_magnetization_mub_per_fu=0.9 pbc="T T T"
Ni 0.0000 0.0000 0.0000
Ni 2.1462 -2.8807 -1.2357
O 3.3966 -1.6235 -0.3746
O 3.6488 -4.0832 -1.6622
O 0.8957 -4.1380 -2.0967
O 0.6436 -1.6783 -0.8092
H 3.0874 -1.9821 0.7657
H 3.7172 -4.5258 -0.5115
H 0.8957 -4.9117 -1.1344
H 0.2658 -2.3680 0.1428

Record 6
5
Lattice="-1.3148 -1.5149 -2.4287 0.4411 -3.0994 -0.3482 -5.2122 -2.6131 2.4089" Properties=species:S:1:pos:R:3 comment="PBE with a Hubbard U NiH2O2, relaxed" e_above_lowest_polymorph_mev_per_atom=19.5 total_magnetization_mub_per_fu=2.0 pbc="T T T"
Ni 0.0000 0.0000 0.0000
H -2.1980 -3.4291 -0.7565
H -3.8878 -3.7983 0.3885
O -1.4095 -3.2569 -1.2908
O -4.6763 -3.9705 0.9228

Record 7
5
Lattice="3.1614 -0.0007 0.0118 -1.5820 2.7391 0.0000 -0.0233 -0.0135 4.6083" Properties=species:S:1:pos:R:3 comment="PBE with a Hubbard U NiH2O2, relaxed" e_above_lowest_polymorph_mev_per_atom=0.0 total_magnetization_mub_per_fu=2.0 pbc="T T T"
Ni -1.5072 2.5559 4.6082
H 1.6671 0.7257 2.6220
H 0.0942 1.6437 1.9982
O 1.6597 0.7298 3.5955
O 0.0945 1.6524 1.0246

Record 8
4
Lattice="-0.4022 2.8619 -0.6907 -1.0758 -1.0784 2.5512 3.9098 1.0562 2.0927" Properties=species:S:1:pos:R:3 comment="PBE with a Hubbard U NiHO2, relaxed" dft_energy_ry_per_atom=-0.349 total_magnetization_mub_per_fu=1.0 pbc="T T T"
Ni -1.0517 -1.0718 2.5640
O 2.4612 2.3829 2.0424
O 0.0440 0.4768 1.9499
H 0.8888 0.7050 2.4022

Record 9
5
Lattice="-0.4479 2.4139 -2.3020 -0.5399 -3.2211 -0.8124 -4.2109 0.3948 1.2332" Properties=species:S:1:pos:R:3 comment="PBE with a Hubbard U NiH2O2, relaxed" e_above_lowest_polymorph_mev_per_atom=231.7 total_magnetization_mub_per_fu=2.0 pbc="T T T"
Ni -4.6609 -0.9535 -0.0930
H -0.0798 0.0075 0.0234
H -2.2825 0.7047 -1.2772
O -3.3430 0.3134 0.9791
O -1.3484 0.6171 -1.5507

Record 10
14
Lattice="-2.6505 -0.3396 0.7059 2.0389 -3.5234 5.9605 -0.8744 7.1629 0.1629" Properties=species:S:1:pos:R:3 comment="PBE with a Hubbard U NiH3O3, relaxed" dft_energy_ry_per_atom=-0.341 total_magnetization_mub_per_fu=1.0 pbc="T T T"
Ni 0.4052 -0.0462 4.2045
Ni -1.8912 3.3461 2.6249
H -0.6782 1.1957 6.1451
H -0.5599 -2.2940 4.9103
H 0.0363 2.8497 4.2125
H -1.5223 0.4503 2.6169
H -0.9261 5.5939 1.9191
H -0.8079 2.1042 0.6842
O -0.9253 1.1407 5.1906
O -0.5501 -1.4191 5.3681
O -0.2010 3.6695 3.7159
O -1.2850 -0.3696 3.1135
O -0.9360 4.7191 1.4612
O -0.5607 2.1592 1.6387

Record 11
10
Lattice="-4.4393 1.0202 2.9493 2.1309 -2.7559 4.1606 1.1865 2.3740 0.9648" Properties=species:S:1:pos:R:3 comment="PBE with a Hubbard U Ni2HO2, relaxed" e_above_lowest_polymorph_mev_per_atom=394.0 total_magnetization_mub_per_fu=1.0 pbc="T T T"
Ni 0.3335 -1.9283 4.3349
Ni -2.1721 -1.0484 5.2512
Ni -2.6418 0.1926 2.7751
Ni -0.1363 -0.6873 1.8588
O 1.3160 -0.4486 3.6184
O -0.4710 -0.4981 5.9378
O -2.4378 1.0870 4.4564
O -0.6509 1.1364 2.1369
H 0.0000 0.0000 0.0000
H -1.1542 -0.8678 3.5550

Record 12
5
Lattice="3.0582 0.0000 0.0000 0.0000 3.0582 0.0000 0.0000 0.0000 3.0582" Properties=species:S:1:pos:R:3 comment="PBE with a Hubbard U NiH3O, relaxed" e_above_lowest_polymorph_mev_per_atom=38.3 total_magnetization_mub_per_fu=0.0 pbc="T T T"
Ni 1.5291 1.5291 1.5291
O 0.0000 0.0000 0.0000
H 0.0000 1.5291 0.0000
H 0.0000 0.0000 1.5291
H 1.5291 0.0000 0.0000

Record 13
16
Lattice="-0.1870 -1.7248 -2.1917 4.2504 -1.5152 0.8298 -4.2925 -8.2746 6.8781" Properties=species:S:1:pos:R:3 comment="PBE with a Hubbard U NiHO2, relaxed" dft_energy_ry_per_atom=-0.349 total_magnetization_mub_per_fu=1.0 pbc="T T T"
Ni 3.3324 -3.5711 -0.1477
Ni -3.5615 -7.9435 5.6639
Ni -0.0288 -5.1962 1.4179
Ni -0.2003 -6.3184 4.0983
H 1.4820 -2.1689 0.6892
H 2.5053 -5.0506 2.8697
H -1.7112 -9.3457 4.8270
H -2.7344 -6.4639 2.6464
O -1.2164 -6.4740 2.5248
O 0.9872 -5.0406 2.9913
O -0.6581 -10.2522 5.4505
O 0.4290 -1.2624 0.0656
O -2.4086 -8.7161 4.3910
O -0.7140 -3.5221 1.9414
O 0.4849 -7.9925 3.5747
O 2.1795 -2.7985 1.1251

Record 14
5
Lattice="3.5809 0.0000 0.0000 0.0000 3.5809 0.0000 0.0000 0.0000 3.5809" Properties=species:S:1:pos:R:3 comment="PBE with a Hubbard U NiHO3, relaxed" dft_energy_ry_per_atom=-0.237 total_magnetization_mub_per_fu=0.0 pbc="T T T"
Ni 0.0000 0.0000 0.0000
O 0.0000 1.7904 0.0000
O 0.0000 0.0000 1.7904
O 1.7904 0.0000 0.0000
H 1.7904 1.7904 1.7904

Record 15
8
Lattice="4.0324 0.0000 0.0000 0.0000 4.0324 0.0000 2.0162 2.0162 4.1418" Properties=species:S:1:pos:R:3 comment="PBE with a Hubbard U NiHO2, relaxed" dft_energy_ry_per_atom=-0.301 total_magnetization_mub_per_fu=3.0 pbc="T T T"
Ni 0.0000 0.0000 0.0000
Ni 4.0324 2.0162 2.0709
O 2.8564 1.0081 1.0355
O 1.1759 3.0243 1.0355
O 3.0243 3.1921 3.1064
O 5.0404 4.8726 3.1064
H 2.0162 2.0162 0.0000
H 2.0162 4.0324 2.0709

Record 16
5
Lattice="3.8129 0.0000 0.0000 0.0000 3.8129 0.0000 1.9064 1.9064 3.7347" Properties=species:S:1:pos:R:3 comment="PBE with a Hubbard U Ni2HO2, relaxed" e_above_lowest_polymorph_mev_per_atom=0.0 total_magnetization_mub_per_fu=1.0 pbc="T T T"
Ni 1.9064 1.9064 2.2048
Ni 3.8129 3.8129 1.5299
O 3.8129 1.9064 1.8674
O 1.9064 3.8129 1.8674
H 0.0000 0.0000 0.0000

Record 17
42
Lattice="-8.5833 3.1224 3.9561 -2.6566 -2.1554 -4.0628 -2.9882 -8.1105 -0.0821" Properties=species:S:1:pos:R:3 comment="PBE with a Hubbard U NiP2H8O10, relaxed" dft_energy_ry_per_atom=-0.422 total_magnetization_mub_per_fu=1.9 pbc="T T T"
Ni -5.7858 -2.4940 1.9370
Ni 0.0000 0.0000 0.0000
P -6.8841 0.7169 2.4406
P -5.2742 -4.0145 -2.8537
P -7.3440 -7.8603 -2.6295
P -8.9539 -3.1290 2.6649
H -8.0042 -4.4584 0.5517
H -4.7135 -7.8332 -2.1664
H -6.2239 -2.6850 -0.7406
H -9.5147 0.6898 1.9776
H -7.2605 -5.7197 -0.0044
H -11.8707 -4.2389 1.3457
H -6.9677 -1.4237 -0.1844
H -2.3574 -2.9046 -1.5346
H -9.1051 -6.3670 0.5060
H -4.1860 -5.7161 -1.8564
H -5.1230 -0.7765 -0.6949
H -10.0421 -1.4273 1.6676
H -8.5821 0.2826 -0.7006
H -3.7134 -3.5304 0.3507
H -5.6460 -7.4261 0.5118
H -10.5148 -3.6131 -0.5395
O -9.4347 -2.9455 -1.3858
O -1.9126 -0.6472 0.5989
O -4.7935 -4.1980 1.1970
O -12.3155 -6.4962 -0.7877
O -8.2234 1.3131 2.8815
O -6.5515 -3.6589 -2.0886
O -6.0047 -8.4565 -3.0703
O -7.6766 -3.4846 1.8997
O -6.6451 0.9417 0.9027
O -4.2252 -4.7079 -1.9095
O -7.5830 -8.0851 -1.0915
O -10.0030 -2.4355 1.7206
O -8.3691 -0.7208 -0.8208
O -2.9843 -2.8696 0.0367
O -5.8590 -6.4227 0.6320
O -11.2438 -4.2738 -0.2256
O -8.1114 -5.2069 -0.1173
O -3.9021 -7.3409 -1.8220
O -6.1167 -1.9366 -0.0715
O -10.3260 0.1975 1.6331

Record 18
56
Lattice="6.1355 0.0000 0.0000 0.0000 7.0268 0.0000 0.0000 0.0000 11.3625" Properties=species:S:1:pos:R:3 comment="PBE with a Hubbard U NiPH15O11, relaxed" dft_energy_ry_per_atom=-0.386 total_magnetization_mub_per_fu=1.9 pbc="T T T"
Ni 3.8203 0.0000 6.7535
Ni 2.3151 3.5134 1.0723
P 0.0170 3.5134 8.3076
P 6.1184 0.0000 2.6264
H 1.0866 0.0000 6.3471
H 5.0488 3.5134 0.6659
H 1.7351 0.0000 4.8631
H 4.4003 3.5134 10.5444
H 6.1311 6.2258 8.0744
H 6.1311 0.8010 8.0744
H 0.0044 4.3144 2.3932
H 0.0044 2.7124 2.3932
H 3.8139 4.8269 8.3434
H 3.8139 2.1999 8.3434
H 2.3216 5.7133 2.6622
H 2.3216 1.3135 2.6622
H 2.3064 5.3091 8.1796
H 2.3064 1.7177 8.1796
H 3.8291 5.2311 2.4984
H 3.8291 1.7957 2.4984
H 4.7728 5.6014 4.5612
H 4.7728 1.4254 4.5612
H 1.3626 4.9388 10.2424
H 1.3626 2.0880 10.2424
H 4.9953 4.8044 5.9190
H 4.9953 2.2224 5.9190
H 1.1401 5.7358 0.2377
H 1.1401 1.2910 0.2377
H 0.8621 3.5134 6.2113
H 5.2733 0.0000 0.5301
H 2.7069 4.2991 5.4171
H 2.7069 2.7277 5.4171
H 3.4286 6.2411 11.0984
H 3.4286 0.7857 11.0984
O 1.9353 0.0000 5.8370
O 4.2001 3.5134 0.1558
O 5.8556 0.0000 7.5381
O 0.2799 3.5134 1.8568
O 3.2464 5.6088 8.0926
O 3.2464 1.4180 8.0926
O 2.8891 4.9314 2.4113
O 2.8891 2.0954 2.4113
O 4.3793 5.4399 5.4752
O 4.3793 1.5869 5.4752
O 1.7561 5.1003 11.1564
O 1.7561 1.9265 11.1564
O 6.0501 3.5134 6.6857
O 0.0853 0.0000 1.0044
O 4.7013 3.5134 8.8091
O 1.4341 0.0000 3.1278
O 0.7529 2.2254 8.7190
O 0.7529 4.8014 8.7190
O 5.3825 1.2880 3.0377
O 5.3825 5.7388 3.0377
O 2.1171 3.5134 5.4731
O 4.0183 0.0000 11.1543

Record 19
5
Lattice="3.9870 0.0000 0.0000 0.0000 3.9870 0.0000 0.0000 0.0000 2.8890" Properties=species:S:1:pos:R:3 comment="PBE with a Hubbard U NiPHO2, relaxed" e_above_lowest_polymorph_mev_per_atom=0.0 total_magnetization_mub_per_fu=1.9 pbc="T T T"
Ni 1.9935 1.9935 1.4445
H 0.0000 0.0000 0.0000
O 0.0000 1.9935 0.0000
O 1.9935 0.0000 0.0000
P 0.0000 0.0000 1.4445

Record 20
5
Lattice="3.5073 0.0000 0.0000 0.0000 3.5073 0.0000 0.0000 0.0000 4.7798" Properties=species:S:1:pos:R:3 comment="PBE with a Hubbard U NiPHO2, relaxed" e_above_lowest_polymorph_mev_per_atom=159.3 total_magnetization_mub_per_fu=0.8 pbc="T T T"
Ni 0.0000 0.0000 0.0000
H 1.7536 1.7536 2.3899
O 0.0000 1.7536 0.0000
O 1.7536 0.0000 0.0000
P 0.0000 0.0000 2.3899